## LiRu2Se (PBE)

Data for LiRu2Se after structural relaxation.

Computed properties:
The calculated volume comes out at 55.8 Å³ per cell. For the uncorrected formation energy, the calculation gives 0.183 eV/atom. The raw total energy comes out at -5.805 eV per atom. The calculation puts the density at 8.58 g/cm³. As for the crystal system: tetragonal.

abc: 4.670 4.670 4.670
angles: 131.60 131.60 70.86
Sites, in units of the cell vectors:
Li  0.750  0.250  0.500
Ru  0.000  0.000  0.000
Ru  0.250  0.750  0.500
Se  0.500  0.500  0.000

***

## Li4RuSe (PBE)

Data for Li4RuSe after structural relaxation.

Computed properties:
The calculated volume comes out at 79.1 Å³ per cell. For the uncorrected formation energy, the calculation gives 0.102 eV/atom. The raw total energy comes out at -3.300 eV per atom. The calculation puts the density at 4.36 g/cm³. As for the crystal system: cubic.

abc: 4.819 4.819 4.819
angles: 60.00 60.00 60.00
Sites, in units of the cell vectors:
Li  0.377  0.868  0.377
Li  0.868  0.377  0.377
Li  0.377  0.377  0.868
Li  0.377  0.377  0.377
Ru  0.750  0.750  0.750
Se  0.000  0.000  0.000

***

## LiRu2Se (PBE)

Data for LiRu2Se after structural relaxation.

Computed properties:
The calculated volume comes out at 133.6 Å³ per cell. For the uncorrected formation energy, the calculation gives 0.338 eV/atom. The raw total energy comes out at -5.650 eV per atom. The calculation puts the density at 7.16 g/cm³. As for the crystal system: tetragonal.

abc: 7.443 7.443 5.789
angles: 49.99 49.99 90.00
Sites, in units of the cell vectors:
Ru  0.701  0.125  0.250
Ru  0.049  0.625  0.250
Ru  0.375  0.299  0.750
Ru  0.875  0.951  0.750
Se  0.000  0.000  0.000
Se  0.750  0.250  0.500
Li  0.500  0.500  0.000
Li  0.250  0.750  0.500

***

## LiRu2Se (PBE)

Data for LiRu2Se after structural relaxation.

Computed properties:
The calculated volume comes out at 55.0 Å³ per cell. For the uncorrected formation energy, the calculation gives 0.068 eV/atom. The raw total energy comes out at -5.920 eV per atom. The calculation puts the density at 8.70 g/cm³. As for the crystal system: tetragonal.

abc: 3.100 3.100 5.722
angles: 90.00 90.00 90.00
Sites, in units of the cell vectors:
Li  0.500  0.500  0.740
Ru  0.000  0.000  0.980
Ru  0.500  0.500  0.253
Se  0.000  0.000  0.527

***

## LiRu2Se (PBE)

Data for LiRu2Se after structural relaxation.

Computed properties:
The calculated volume comes out at 56.2 Å³ per cell. For the uncorrected formation energy, the calculation gives 0.129 eV/atom. The raw total energy comes out at -5.858 eV per atom. The calculation puts the density at 8.51 g/cm³. As for the crystal system: monoclinic.

abc: 4.466 4.466 4.588
angles: 77.83 77.83 39.06
Sites, in units of the cell vectors:
Li  0.247  0.247  0.256
Ru  0.002  0.002  0.023
Ru  0.753  0.753  0.752
Se  0.498  0.498  0.469

***

## LiRuSe2 (PBE)

Data for LiRuSe2 after structural relaxation.

Computed properties:
The calculated volume comes out at 66.7 Å³ per cell. For the uncorrected formation energy, the calculation gives -0.218 eV/atom. The raw total energy comes out at -4.757 eV per atom. The calculation puts the density at 6.62 g/cm³. As for the crystal system: tetragonal.

abc: 3.160 3.160 6.678
angles: 90.00 90.00 89.99
Last column: magnetic moment on the atom in μB.
Sites, in units of the cell vectors:
Li  0.500  0.500  0.250  0.00
Ru  0.500  0.500  0.750  0.39
Se  0.000  0.000  0.977  0.00
Se  0.000  0.000  0.523  0.00

***

## LiRuSe2 (PBE)

Data for LiRuSe2 after structural relaxation.

Computed properties:
The calculated volume comes out at 67.9 Å³ per cell. For the uncorrected formation energy, the calculation gives -0.022 eV/atom. The raw total energy comes out at -4.562 eV per atom. The calculation puts the density at 6.51 g/cm³. As for the crystal system: trigonal.

abc: 8.737 8.737 8.737
angles: 19.94 19.94 19.94
Sites, in units of the cell vectors:
Ru  0.000  0.000  0.000
Se  0.908  0.908  0.908
Se  0.092  0.092  0.092
Li  0.500  0.500  0.500

***

## LiRu2Se (PBE)

Data for LiRu2Se after structural relaxation.

Computed properties:
The calculated volume comes out at 57.1 Å³ per cell. For the uncorrected formation energy, the calculation gives 0.089 eV/atom. The raw total energy comes out at -5.898 eV per atom. The calculation puts the density at 8.38 g/cm³. As for the crystal system: orthorhombic.

abc: 2.889 3.807 5.191
angles: 90.00 90.00 90.00
Sites, in units of the cell vectors:
Li  0.500  0.500  0.740
Ru  0.000  0.000  0.009
Ru  0.500  0.500  0.230
Se  0.000  0.000  0.521

***

## LiRuSe2 (PBE)

Data for LiRuSe2 after structural relaxation.

Computed properties:
The calculated volume comes out at 69.9 Å³ per cell. For the uncorrected formation energy, the calculation gives -0.351 eV/atom. The raw total energy comes out at -4.890 eV per atom. The calculation puts the density at 6.32 g/cm³. As for the crystal system: orthorhombic.

abc: 6.842 6.842 6.842
angles: 150.77 153.41 39.92
Sites, in units of the cell vectors:
Li  0.462  0.462  0.000
Ru  0.194  0.694  0.500
Se  0.056  0.056  0.000
Se  0.787  0.287  0.500

***

## LiRu2Se (PBE)

Data for LiRu2Se after structural relaxation.

Computed properties:
The calculated volume comes out at 59.7 Å³ per cell. For the uncorrected formation energy, the calculation gives 0.066 eV/atom. The raw total energy comes out at -5.922 eV per atom. The calculation puts the density at 8.02 g/cm³. As for the crystal system: orthorhombic.

abc: 5.465 5.465 5.465
angles: 148.94 134.48 56.13
Sites, in units of the cell vectors:
Li  0.250  0.750  0.500
Ru  0.961  0.961  0.000
Ru  0.539  0.539  0.000
Se  0.750  0.250  0.500

***

## LiRuSe2 (PBE)

Data for LiRuSe2 after structural relaxation.

Computed properties:
The calculated volume comes out at 186.0 Å³ per cell. For the uncorrected formation energy, the calculation gives -0.374 eV/atom. The raw total energy comes out at -4.914 eV per atom. The calculation puts the density at 4.75 g/cm³. As for the crystal system: tetragonal.

abc: 5.867 5.867 6.812
angles: 64.49 64.49 90.00
Sites, in units of the cell vectors:
Ru  0.000  0.000  0.000
Ru  0.750  0.250  0.500
Se  0.656  0.125  0.250
Se  0.094  0.625  0.250
Se  0.375  0.344  0.750
Se  0.875  0.906  0.750
Li  0.500  0.500  0.000
Li  0.250  0.750  0.500

***

## LiRu2Se (PBE)

Data for LiRu2Se after structural relaxation.

Computed properties:
The calculated volume comes out at 60.8 Å³ per cell. For the uncorrected formation energy, the calculation gives 0.326 eV/atom. The raw total energy comes out at -5.661 eV per atom. The calculation puts the density at 7.87 g/cm³. As for the crystal system: orthorhombic.

abc: 2.797 2.797 8.733
angles: 90.00 90.00 117.18
Last column: magnetic moment on the atom in μB.
Sites, in units of the cell vectors:
Li  0.500  0.500  0.752  -0.01
Ru  0.000  0.000  0.004  0.30
Ru  0.500  0.500  0.248  0.17
Se  0.000  0.000  0.496  -0.01

***

## LiRuSe2 (PBE)

Data for LiRuSe2 after structural relaxation.

Computed properties:
The calculated volume comes out at 73.8 Å³ per cell. For the uncorrected formation energy, the calculation gives -0.248 eV/atom. The raw total energy comes out at -4.788 eV per atom. The calculation puts the density at 5.98 g/cm³. As for the crystal system: monoclinic.

abc: 3.631 2.976 6.854
angles: 94.76 90.00 90.00
Sites, in units of the cell vectors:
Li  0.500  0.250  0.250
Ru  0.500  0.750  0.750
Se  0.000  0.807  0.992
Se  0.000  0.693  0.508

***

## LiRu2Se (PBE)

Data for LiRu2Se after structural relaxation.

Computed properties:
The calculated volume comes out at 58.4 Å³ per cell. For the uncorrected formation energy, the calculation gives 0.237 eV/atom. The raw total energy comes out at -5.750 eV per atom. The calculation puts the density at 8.19 g/cm³. As for the crystal system: monoclinic.

abc: 4.163 2.892 4.878
angles: 83.79 90.00 90.00
Sites, in units of the cell vectors:
Li  0.500  0.750  0.750
Ru  0.000  0.071  0.002
Ru  0.000  0.429  0.498
Se  0.500  0.250  0.250

***

## LiRu2Se (PBE)

Data for LiRu2Se after structural relaxation.

Computed properties:
The calculated volume comes out at 60.8 Å³ per cell. For the uncorrected formation energy, the calculation gives 0.352 eV/atom. The raw total energy comes out at -5.635 eV per atom. The calculation puts the density at 7.86 g/cm³. As for the crystal system: trigonal.

abc: 8.303 8.303 8.303
angles: 20.39 20.39 20.39
Sites, in units of the cell vectors:
Li  0.750  0.750  0.750
Ru  0.993  0.993  0.993
Ru  0.507  0.507  0.507
Se  0.250  0.250  0.250

***

## Li2RuSe2 (PBE)

Data for Li2RuSe2 after structural relaxation.

Computed properties:
The calculated volume comes out at 163.9 Å³ per cell. For the uncorrected formation energy, the calculation gives -0.480 eV/atom. The raw total energy comes out at -4.495 eV per atom. The calculation puts the density at 5.53 g/cm³. As for the crystal system: tetragonal.

abc: 6.768 6.768 3.577
angles: 90.00 90.00 90.00
Sites, in units of the cell vectors:
Ru  0.000  0.000  0.000
Ru  0.500  0.500  0.000
Se  0.330  0.830  0.000
Se  0.830  0.670  0.000
Se  0.670  0.170  0.000
Se  0.170  0.330  0.000
Li  0.141  0.641  0.500
Li  0.641  0.859  0.500
Li  0.859  0.359  0.500
Li  0.359  0.141  0.500

***

## LiRu2Se (PBE)

Data for LiRu2Se after structural relaxation.

Computed properties:
The calculated volume comes out at 60.5 Å³ per cell. For the uncorrected formation energy, the calculation gives 0.525 eV/atom. The raw total energy comes out at -5.462 eV per atom. The calculation puts the density at 7.90 g/cm³. As for the crystal system: orthorhombic.

abc: 2.809 2.809 8.579
angles: 90.00 90.00 116.58
Sites, in units of the cell vectors:
Li  0.500  0.500  0.750
Ru  0.000  0.000  0.009
Ru  0.000  0.000  0.491
Se  0.500  0.500  0.250

***

## Li3U3RuSe8 (PBE)

Data for Li3U3RuSe8 after structural relaxation.

Computed properties:
The calculated volume comes out at 345.4 Å³ per cell. For the uncorrected formation energy, the calculation gives -1.038 eV/atom. The raw total energy comes out at -6.155 eV per atom. The calculation puts the density at 7.06 g/cm³. As for the crystal system: trigonal.

abc: 7.672 7.672 8.096
angles: 118.29 90.00 120.00
Last column: magnetic moment on the atom in μB.
Sites, in units of the cell vectors:
Li  0.000  0.000  0.000  -0.01
Li  0.000  0.500  0.000  -0.01
Li  0.500  0.500  0.000  -0.01
U  0.500  0.000  0.500  2.28
U  0.500  0.500  0.500  2.28
U  0.000  0.500  0.500  2.28
Ru  0.000  0.000  0.500  -0.08
Se  0.245  0.489  0.234  -0.06
Se  0.755  0.511  0.766  -0.06
Se  0.766  0.531  0.257  -0.06
Se  0.234  0.469  0.743  -0.06
Se  0.766  0.991  0.257  -0.06
Se  0.234  0.009  0.743  -0.06
Se  0.226  0.991  0.257  -0.06
Se  0.774  0.009  0.743  -0.06

***

## LiZrRuSe2 (PBE)

Data for LiZrRuSe2 after structural relaxation.

Computed properties:
The calculated volume comes out at 122.7 Å³ per cell. For the uncorrected formation energy, the calculation gives 0.184 eV/atom. The raw total energy comes out at -5.157 eV per atom. The calculation puts the density at 4.83 g/cm³. As for the crystal system: tetragonal.

abc: 5.075 4.765 5.075
angles: 90.00 90.00 90.00
Last column: magnetic moment on the atom in μB.
Sites, in units of the cell vectors:
Ru  0.000  0.000  0.000  -0.28
Se  0.000  0.000  0.500  -0.04
Se  0.500  0.000  0.000  -0.10
Zr  0.000  0.500  0.000  0.51
Li  0.500  0.500  0.500  0.02

***

## Li2Si2Ru (PBE)

Data for Li2Si2Ru after structural relaxation.

Computed properties:
The calculated volume comes out at 136.0 Å³ per cell. For the uncorrected formation energy, the calculation gives -0.191 eV/atom. The raw total energy comes out at -4.980 eV per atom. The calculation puts the density at 4.18 g/cm³. As for the crystal system: tetragonal. The energy above the lowest structure with this stoichiometry comes out at 125 meV/atom.

abc: 6.304 6.304 3.423
angles: 90.00 90.00 90.00
Sites, in units of the cell vectors:
Ru  0.000  0.000  0.000
Ru  0.500  0.500  0.000
Si  0.361  0.861  0.000
Si  0.861  0.639  0.000
Si  0.639  0.139  0.000
Si  0.139  0.361  0.000
Li  0.166  0.666  0.500
Li  0.666  0.834  0.500
Li  0.834  0.334  0.500
Li  0.334  0.166  0.500